ZnPd | PBE | optimized geometry

## Properties
ΔE_f: -0.4364 eV/atom

```
data_ZnPd
_cell_length_a 2.8973
_cell_length_b 2.8973
_cell_length_c 4.0838
_cell_angle_alpha 90.00
_cell_angle_beta 90.00
_cell_angle_gamma 120.00
_space_group_name_H-M_alt 'P -6 m 2'
_space_group_IT_number 187
_space_group_name_Hall 'P -6 2'
loop_
_atom_site_label
_atom_site_type_symbol
_atom_site_fract_x
_atom_site_fract_y
_atom_site_fract_z
Zn1 Zn 0.0000 0.0000 0.0000
Pd1 Pd 0.3333 0.6667 0.5000
```

***

ZnPd | PBE | optimized geometry

## Properties
ΔE_f: -0.4113 eV/atom

```
data_ZnPd
_cell_length_a 4.462
_cell_length_b 8.195
_cell_length_c 4.808
_cell_angle_alpha 90.00
_cell_angle_beta 90.00
_cell_angle_gamma 90.00
_space_group_name_H-M_alt 'P m c 21'
_space_group_IT_number 26
loop_
_space_group_symop_operation_xyz
'x,y,z'
'-x,-y,z+1/2'
'-x,y,z'
'x,-y,z+1/2'
loop_
_atom_site_label
_atom_site_type_symbol
_atom_site_fract_x
_atom_site_fract_y
_atom_site_fract_z
Zn1 Zn 0.000 0.084 0.000
Zn2 Zn 0.000 0.416 0.007
Zn3 Zn 0.500 0.093 0.655
Pd1 Pd 0.000 0.243 0.506
Pd2 Pd 0.500 0.231 0.155
Pd3 Pd 0.500 0.420 0.674
```

***

ZnPd15 | PBE | optimized geometry

## Properties
Offset from the most stable computed form: 0.039 eV/atom
ΔE_f: 0.0307 eV/atom

```
data_ZnPd15
_cell_length_a 4.809
_cell_length_b 36.301
_cell_length_c 4.809
_cell_angle_alpha 90.00
_cell_angle_beta 109.71
_cell_angle_gamma 90.00
_space_group_name_H-M_alt 'P 1 2/c 1'
_space_group_IT_number 13
loop_
_space_group_symop_operation_xyz
'x,y,z'
'-x,-y,-z'
'-x,y,-z+1/2'
'x,-y,z+1/2'
loop_
_atom_site_label
_atom_site_type_symbol
_atom_site_fract_x
_atom_site_fract_y
_atom_site_fract_z
Zn1 Zn 0.000 0.215 0.250
Pd1 Pd 0.000 0.246 0.750
Pd2 Pd 0.000 0.287 0.250
Pd3 Pd 0.000 0.326 0.750
Pd4 Pd 0.000 0.365 0.250
Pd5 Pd 0.000 0.403 0.750
Pd6 Pd 0.000 0.442 0.250
Pd7 Pd 0.000 0.481 0.750
Pd8 Pd 0.500 0.211 0.750
Pd9 Pd 0.500 0.246 0.250
Pd10 Pd 0.500 0.286 0.750
Pd11 Pd 0.500 0.326 0.250
Pd12 Pd 0.500 0.364 0.750
Pd13 Pd 0.500 0.403 0.250
Pd14 Pd 0.500 0.442 0.750
Pd15 Pd 0.500 0.481 0.250
```

***

ZrZnPd2 | PBE | optimized geometry

## Properties
ΔE_f: -0.4760 eV/atom

```
data_ZrZnPd2
_cell_length_a 4.149
_cell_length_b 4.149
_cell_length_c 3.904
_cell_angle_alpha 90.00
_cell_angle_beta 90.00
_cell_angle_gamma 90.00
_space_group_name_H-M_alt 'P 4/m m m'
_space_group_IT_number 123
_space_group_name_Hall '-P 4 2'
loop_
_atom_site_label
_atom_site_type_symbol
_atom_site_fract_x
_atom_site_fract_y
_atom_site_fract_z
Zr1 Zr 0.000 0.000 0.000
Zn1 Zn 0.500 0.500 0.000
Pd1 Pd 0.000 0.500 0.500
```

***

ZrZnPd2 | PBE | optimized geometry

## Properties
ΔE_f: -0.4723 eV/atom

```
data_ZrZnPd2
_cell_length_a 6.453
_cell_length_b 6.453
_cell_length_c 6.453
_cell_angle_alpha 90.00
_cell_angle_beta 90.00
_cell_angle_gamma 90.00
_space_group_name_H-M_alt 'F -4 3 m'
_space_group_IT_number 216
_space_group_name_Hall 'F -4 2 3'
loop_
_atom_site_label
_atom_site_type_symbol
_atom_site_fract_x
_atom_site_fract_y
_atom_site_fract_z
Zr1 Zr 0.000 0.000 0.000
Zn1 Zn 0.250 0.250 0.750
Pd1 Pd 0.000 0.000 0.500
Pd2 Pd 0.250 0.250 0.250
```

***

ZrZnPd2 | PBE | optimized geometry

## Properties
ΔE_f: -0.3427 eV/atom

```
data_ZrZnPd2
_cell_length_a 4.5886
_cell_length_b 4.5886
_cell_length_c 7.5888
_cell_angle_alpha 90.00
_cell_angle_beta 90.00
_cell_angle_gamma 120.00
_space_group_name_H-M_alt 'P 63/m m c'
_space_group_IT_number 194
_space_group_name_Hall '-P 6c 2c'
loop_
_atom_site_label
_atom_site_type_symbol
_atom_site_fract_x
_atom_site_fract_y
_atom_site_fract_z
Zr1 Zr 0.0000 0.0000 0.2500
Zn1 Zn 0.3333 0.6667 0.2500
Pd1 Pd 0.3333 0.6667 0.5778
```

***

ZrZnPd2 | PBE | optimized geometry

## Properties
ΔE_f: -0.6468 eV/atom

```
data_ZrZnPd2
_cell_length_a 4.3301
_cell_length_b 4.3301
_cell_length_c 8.5733
_cell_angle_alpha 90.00
_cell_angle_beta 90.00
_cell_angle_gamma 120.00
_space_group_name_H-M_alt 'P 63/m m c'
_space_group_IT_number 194
_space_group_name_Hall '-P 6c 2c'
loop_
_atom_site_label
_atom_site_type_symbol
_atom_site_fract_x
_atom_site_fract_y
_atom_site_fract_z
Zr1 Zr 0.3333 0.6667 0.2500
Zn1 Zn 0.0000 0.0000 0.0000
Pd1 Pd 0.3333 0.6667 0.5876
```

***

ZrZn3Pd2 | PBE | optimized geometry

## Properties
ΔE_f: -0.4304 eV/atom

```
data_ZrZn3Pd2
_cell_length_a 3.161
_cell_length_b 3.161
_cell_length_c 9.540
_cell_angle_alpha 90.00
_cell_angle_beta 90.00
_cell_angle_gamma 90.00
_space_group_name_H-M_alt 'P 4 m m'
_space_group_IT_number 99
loop_
_space_group_symop_operation_xyz
'x,y,z'
'-y,x,z'
'-x,-y,z'
'y,-x,z'
'-x,y,z'
'y,x,z'
'x,-y,z'
'-y,-x,z'
loop_
_atom_site_label
_atom_site_type_symbol
_atom_site_fract_x
_atom_site_fract_y
_atom_site_fract_z
Zr1 Zr 0.000 0.000 0.000
Zn1 Zn 0.000 0.000 0.657
Zn2 Zn 0.500 0.500 0.198
Zn3 Zn 0.500 0.500 0.498
Pd1 Pd 0.000 0.000 0.349
Pd2 Pd 0.500 0.500 0.806
```

***

ZrZnPd | PBE | optimized geometry

## Properties
ΔE_f: -0.3143 eV/atom

```
data_ZrZnPd
_cell_length_a 6.228
_cell_length_b 6.228
_cell_length_c 6.228
_cell_angle_alpha 90.00
_cell_angle_beta 90.00
_cell_angle_gamma 90.00
_space_group_name_H-M_alt 'F -4 3 m'
_space_group_IT_number 216
_space_group_name_Hall 'F -4 2 3'
loop_
_atom_site_label
_atom_site_type_symbol
_atom_site_fract_x
_atom_site_fract_y
_atom_site_fract_z
Zr1 Zr 0.000 0.000 0.000
Zn1 Zn 0.000 0.000 0.500
Pd1 Pd 0.250 0.250 0.250
```

***

Zr3ZnPd2 | PBE | optimized geometry

## Properties
ΔE_f: -0.4980 eV/atom

```
data_Zr3ZnPd2
_cell_length_a 3.297
_cell_length_b 3.297
_cell_length_c 10.381
_cell_angle_alpha 90.00
_cell_angle_beta 90.00
_cell_angle_gamma 90.00
_space_group_name_H-M_alt 'P 4 m m'
_space_group_IT_number 99
loop_
_space_group_symop_operation_xyz
'x,y,z'
'-y,x,z'
'-x,-y,z'
'y,-x,z'
'-x,y,z'
'y,x,z'
'x,-y,z'
'-y,-x,z'
loop_
_atom_site_label
_atom_site_type_symbol
_atom_site_fract_x
_atom_site_fract_y
_atom_site_fract_z
Zr1 Zr 0.000 0.000 0.000
Zr2 Zr 0.000 0.000 0.342
Zr3 Zr 0.500 0.500 0.801
Zn1 Zn 0.500 0.500 0.508
Pd1 Pd 0.000 0.000 0.640
Pd2 Pd 0.500 0.500 0.162
```

***

Zr2ZnPd | PBE | optimized geometry

## Properties
ΔE_f: -0.1566 eV/atom

```
data_Zr2ZnPd
_cell_length_a 6.678
_cell_length_b 6.678
_cell_length_c 6.678
_cell_angle_alpha 90.00
_cell_angle_beta 90.00
_cell_angle_gamma 90.00
_space_group_name_H-M_alt 'F -4 3 m'
_space_group_IT_number 216
_space_group_name_Hall 'F -4 2 3'
loop_
_atom_site_label
_atom_site_type_symbol
_atom_site_fract_x
_atom_site_fract_y
_atom_site_fract_z
Zr1 Zr 0.000 0.000 0.000
Zr2 Zr 0.250 0.250 0.250
Zn1 Zn 0.000 0.000 0.500
Pd1 Pd 0.250 0.250 0.750
```

***

ZrZnPd | PBE | optimized geometry

## Properties
ΔE_f: -0.4785 eV/atom

```
data_ZrZnPd
_cell_length_a 3.326
_cell_length_b 3.326
_cell_length_c 9.463
_cell_angle_alpha 90.00
_cell_angle_beta 90.00
_cell_angle_gamma 90.00
_space_group_name_H-M_alt 'P 4/n m m'
_space_group_IT_number 129
loop_
_space_group_symop_operation_xyz
'x,y,z'
'-x,-y,-z'
'-y+1/2,x,z'
'y+1/2,-x,-z'
'-x+1/2,-y+1/2,z'
'x+1/2,y+1/2,-z'
'y,-x+1/2,z'
'-y,x+1/2,-z'
'x+1/2,-y,-z'
'-x+1/2,y,z'
'-y,-x,-z'
'y,x,z'
'-x,y+1/2,-z'
'x,-y+1/2,z'
'y+1/2,x+1/2,-z'
'-y+1/2,-x+1/2,z'
loop_
_atom_site_label
_atom_site_type_symbol
_atom_site_fract_x
_atom_site_fract_y
_atom_site_fract_z
Zr1 Zr 0.250 0.250 0.108
Zn1 Zn 0.250 0.250 0.427
Pd1 Pd 0.250 0.250 0.716
```